# 1
5
Lattice="4.481 0.000 0.000 0.000 4.942 0.000 0.000 0.000 4.481" Properties=species:S:1:pos:R:3 comment="LiCuSbF2 | Alexandria | GGA-PBE | relaxed" raw_formation_energy_kcal_per_mol_atoms=-23.5 final_energy_ev_per_atom=-3.79 space_group="P4/mmm (123)" pbc="T T T"
F 0.000 0.000 2.240
Cu 0.000 2.471 0.000
Li 2.240 2.471 2.240
Sb 0.000 0.000 0.000
F 2.240 0.000 0.000

# 2
10
Lattice="0.000 4.161 4.161 4.161 0.000 4.161 4.161 4.161 0.000" Properties=species:S:1:pos:R:3 comment="Li2ScCuF6 | Alexandria | GGA-PBE | relaxed" raw_formation_energy_kcal_per_mol_atoms=-60.5 final_energy_ev_per_atom=-5.17 space_group="Fm-3m (225)" pbc="T T T"
F 2.010 4.161 4.161
F 4.161 4.161 6.312
F 4.161 4.161 2.010
F 4.161 6.312 4.161
Li 2.081 2.081 2.081
Li 6.242 6.242 6.242
F 6.312 4.161 4.161
Cu 4.161 4.161 4.161
F 4.161 2.010 4.161
Sc 0.000 0.000 0.000

# 3
18
Lattice="-3.572 3.132 -0.459 -2.751 -3.414 -1.886 -3.103 -2.273 8.643" Properties=species:S:1:pos:R:3 comment="LiScCuF6 | Alexandria | GGA-PBE | relaxed" raw_formation_energy_kcal_per_mol_atoms=-66.7 final_energy_ev_per_atom=-5.51 space_group="P4_2nm (102)" pbc="T T T"
Sc -2.069 -1.515 5.762
F -3.930 1.451 0.707
Cu -1.030 -0.755 2.870
Li -0.008 -0.006 0.023
F -3.434 -2.496 -0.153
F -2.916 -0.833 2.144
F -3.978 -1.603 5.064
F -1.929 -0.091 -0.693
F -6.489 -1.715 4.133
F -5.489 -3.987 5.568
F -4.408 -0.202 -1.612
Li -4.721 -1.284 3.172
Cu -5.744 -2.032 6.019
F -5.451 -0.946 1.204
F -4.970 0.707 3.602
Sc -3.679 -0.520 0.268
F -4.471 -3.272 2.735
F -5.981 -0.065 6.423